{"formula": "Ca3CdAs2Pd9", "functional": "GGA-PBE", "state": "relaxed", "cell": [[5.819, 0.000, 0.000], [-2.910, 5.039, 0.000], [0.000, 0.000, 11.097]], "species": ["Ca", "Ca", "Ca", "Cd", "As", "As", "Pd", "Pd", "Pd", "Pd", "Pd", "Pd", "Pd", "Pd", "Pd"], "frac_coords": [[0.000, 0.000, 0.000], [0.333, 0.667, 0.609], [0.667, 0.333, 0.391], [0.000, 0.000, 0.500], [0.333, 0.667, 0.158], [0.667, 0.333, 0.842], [0.000, 0.500, 0.000], [0.158, 0.316, 0.302], [0.158, 0.842, 0.302], [0.316, 0.158, 0.698], [0.500, 0.000, 0.000], [0.500, 0.500, 0.000], [0.684, 0.842, 0.302], [0.842, 0.158, 0.698], [0.842, 0.684, 0.698]]}


{"formula": "Ca2CdAs3Pd4", "functional": "GGA-PBE", "state": "relaxed", "cell": [[4.260, 0.000, 0.000], [0.000, 4.260, 0.000], [0.000, 0.000, 10.993]], "species": ["Ca", "Ca", "Cd", "As", "As", "As", "Pd", "Pd", "Pd", "Pd"], "frac_coords": [[0.000, 0.500, 0.235], [0.500, 0.000, 0.765], [0.000, 0.000, 0.500], [0.000, 0.500, 0.871], [0.500, 0.000, 0.129], [0.500, 0.500, 0.500], [0.000, 0.000, 0.000], [0.000, 0.500, 0.651], [0.500, 0.000, 0.349], [0.500, 0.500, 0.000]]}


{"formula": "Ca4CdAs3Pd12", "functional": "GGA-PBE", "state": "relaxed", "cell": [[-4.792, 4.792, 4.792], [4.792, -4.792, 4.792], [4.792, 4.792, -4.792]], "species": ["Ca", "Ca", "Ca", "Ca", "Cd", "As", "As", "As", "Pd", "Pd", "Pd", "Pd", "Pd", "Pd", "Pd", "Pd", "Pd", "Pd", "Pd", "Pd"], "frac_coords": [[0.000, 0.000, 0.500], [0.000, 0.500, 0.000], [0.500, 0.000, 0.000], [0.500, 0.500, 0.500], [0.000, 0.000, 0.000], [0.000, 0.500, 0.500], [0.500, 0.000, 0.500], [0.500, 0.500, 0.000], [0.000, 0.261, 0.261], [0.000, 0.739, 0.739], [0.250, 0.500, 0.750], [0.250, 0.750, 0.500], [0.261, 0.000, 0.261], [0.261, 0.261, 0.000], [0.500, 0.250, 0.750], [0.500, 0.750, 0.250], [0.739, 0.000, 0.739], [0.739, 0.739, 0.000], [0.750, 0.250, 0.500], [0.750, 0.500, 0.250]]}


no.,formation energy (meV/atom),total magnetic moment (μB/f.u.)
1,-475,0.00
2,-692,0.00
3,-349,0.00